1.
Here is an optimized crystal structure of UAl4Co from OQMD. Energies are from PBE.

Computed properties:
VASP energy = -35.278 eV per formula unit
symmetry = P-62m, No. 189
crystal system = hexagonal

Cell lengths 9.134, 9.134, 4.100 Å; angles 90.00, 90.00, 120.00 degrees
Atoms (fractional coordinates):
Al 0.742 0.000 0.000
Al 0.258 0.258 0.000
Al 0.000 0.742 0.000
Al 0.169 0.000 0.500
Al 0.000 0.169 0.500
Al 0.703 0.183 0.500
Al 0.480 0.297 0.500
Al 0.297 0.480 0.500
Al 0.817 0.520 0.500
Al 0.183 0.703 0.500
Al 0.520 0.817 0.500
Al 0.831 0.831 0.500
Co 0.000 0.000 0.000
Co 0.667 0.333 0.000
Co 0.333 0.667 0.000
U 0.409 0.000 0.000
U 0.000 0.409 0.000
U 0.591 0.591 0.000



2.
Here is an optimized crystal structure of Al2CoW from OQMD. Energies are from PBE.

Computed properties:
VASP energy = -27.209 eV per formula unit
symmetry = F-43m, No. 216
crystal system = cubic

Cell lengths 4.294, 4.294, 4.294 Å; angles 60.00, 60.00, 60.00 degrees
Atoms (fractional coordinates):
Al 0.000 0.000 0.000
Al 0.750 0.750 0.750
Co 0.250 0.250 0.250
W 0.500 0.500 0.500